Entry 1:
# Sm3PaO GGA-PBE relaxed
data_Sm3PaO
_space_group_name_H-M_alt 'P m -3 m'
_space_group_IT_number 221
_space_group_name_Hall '-P 4 2 3'
_cell_length_a 4.958
_cell_length_b 4.958
_cell_length_c 4.958
_cell_angle_alpha 90.00
_cell_angle_beta 90.00
_cell_angle_gamma 90.00
loop_
_atom_site_label
_atom_site_type_symbol
_atom_site_fract_x
_atom_site_fract_y
_atom_site_fract_z
Sm1 Sm 0.000 0.000 0.500
Pa1 Pa 0.500 0.500 0.500
O1 O 0.000 0.000 0.000
# Total magnetic moment = 0.00 μB/f.u.


Entry 2:
# SmPaO4 GGA-PBE relaxed
data_SmPaO4
_space_group_name_H-M_alt 'P 4/m m m'
_space_group_IT_number 123
_space_group_name_Hall '-P 4 2'
_cell_length_a 3.842
_cell_length_b 3.842
_cell_length_c 5.498
_cell_angle_alpha 90.00
_cell_angle_beta 90.00
_cell_angle_gamma 90.00
loop_
_atom_site_label
_atom_site_type_symbol
_atom_site_fract_x
_atom_site_fract_y
_atom_site_fract_z
Sm1 Sm 0.000 0.000 0.000
Pa1 Pa 0.500 0.500 0.500
O1 O 0.000 0.500 0.266
# Total magnetic moment = 0.00 μB/f.u.


Entry 3:
# SmPaSn2O8 GGA-PBE relaxed
data_SmPaSn2O8
_space_group_name_H-M_alt 'I -4 m 2'
_space_group_IT_number 119
_space_group_name_Hall 'I -4 -2'
_cell_length_a 7.279
_cell_length_b 7.279
_cell_length_c 6.987
_cell_angle_alpha 90.00
_cell_angle_beta 90.00
_cell_angle_gamma 90.00
loop_
_atom_site_label
_atom_site_type_symbol
_atom_site_fract_x
_atom_site_fract_y
_atom_site_fract_z
Sm1 Sm 0.000 0.000 0.000
Pa1 Pa 0.000 0.500 0.250
Sn1 Sn 0.000 0.000 0.500
Sn2 Sn 0.000 0.500 0.750
O1 O 0.000 0.196 0.305
O2 O 0.000 0.318 0.959
# Total magnetic moment = 0.00 μB/f.u.


Entry 4:
# Sr2SmPaO6 GGA-PBE relaxed
data_Sr2SmPaO6
_space_group_name_H-M_alt 'P 1 21/c 1'
_space_group_IT_number 14
_space_group_name_Hall '-P 2ybc'
_cell_length_a 6.056
_cell_length_b 6.217
_cell_length_c 10.571
_cell_angle_alpha 90.00
_cell_angle_beta 124.88
_cell_angle_gamma 90.00
loop_
_atom_site_label
_atom_site_type_symbol
_atom_site_fract_x
_atom_site_fract_y
_atom_site_fract_z
Sr1 Sr 0.236 0.045 0.248
Sm1 Sm 0.000 0.000 0.500
Pa1 Pa 0.500 0.000 0.000
O1 O 0.154 0.192 0.945
O2 O 0.247 0.711 0.938
O3 O 0.368 0.046 0.759
# Total magnetic moment = 0.00 μB/f.u.


Entry 5:
# Sm2PaTeO8 GGA-PBE relaxed
data_Sm2PaTeO8
_space_group_name_H-M_alt 'P 1 2/m 1'
_space_group_IT_number 10
_space_group_name_Hall '-P 2y'
_cell_length_a 5.499
_cell_length_b 3.738
_cell_length_c 8.067
_cell_angle_alpha 90.00
_cell_angle_beta 96.54
_cell_angle_gamma 90.00
loop_
_atom_site_label
_atom_site_type_symbol
_atom_site_fract_x
_atom_site_fract_y
_atom_site_fract_z
Sm1 Sm 0.012 0.000 0.245
Pa1 Pa 0.500 0.500 0.000
Te1 Te 0.500 0.500 0.500
O1 O 0.225 0.500 0.787
O2 O 0.266 0.000 0.023
O3 O 0.280 0.000 0.531
O4 O 0.302 0.500 0.274
# Total magnetic moment = 0.00 μB/f.u.


Entry 6:
# SmPaTe2O8 GGA-PBE relaxed
data_SmPaTe2O8
_space_group_name_H-M_alt 'I -4 m 2'
_space_group_IT_number 119
_space_group_name_Hall 'I -4 -2'
_cell_length_a 7.325
_cell_length_b 7.325
_cell_length_c 7.205
_cell_angle_alpha 90.00
_cell_angle_beta 90.00
_cell_angle_gamma 90.00
loop_
_atom_site_label
_atom_site_type_symbol
_atom_site_fract_x
_atom_site_fract_y
_atom_site_fract_z
Sm1 Sm 0.000 0.000 0.000
Pa1 Pa 0.000 0.500 0.250
Te1 Te 0.000 0.000 0.500
Te2 Te 0.000 0.500 0.750
O1 O 0.000 0.197 0.300
O2 O 0.000 0.318 0.965
# Total magnetic moment = 0.00 μB/f.u.


Entry 7:
# SmPaTiO6 GGA-PBE relaxed
data_SmPaTiO6
_space_group_name_H-M_alt 'P 3 1 2'
_space_group_IT_number 149
_space_group_name_Hall 'P 3 2'
_cell_length_a 5.4865
_cell_length_b 5.4865
_cell_length_c 4.7786
_cell_angle_alpha 90.00
_cell_angle_beta 90.00
_cell_angle_gamma 120.00
loop_
_atom_site_label
_atom_site_type_symbol
_atom_site_fract_x
_atom_site_fract_y
_atom_site_fract_z
Sm1 Sm 0.0000 0.0000 0.0000
Pa1 Pa 0.6667 0.3333 0.5000
Ti1 Ti 0.3333 0.6667 0.0000
O1 O 0.0180 0.3773 0.2353
# Total magnetic moment = 0.00 μB/f.u.


Entry 8:
# SmPaTlO6 GGA-PBE relaxed
data_SmPaTlO6
_space_group_name_H-M_alt 'P 3 1 2'
_space_group_IT_number 149
_space_group_name_Hall 'P 3 2'
_cell_length_a 5.7530
_cell_length_b 5.7530
_cell_length_c 4.8811
_cell_angle_alpha 90.00
_cell_angle_beta 90.00
_cell_angle_gamma 120.00
loop_
_atom_site_label
_atom_site_type_symbol
_atom_site_fract_x
_atom_site_fract_y
_atom_site_fract_z
Sm1 Sm 0.0000 0.0000 0.0000
Pa1 Pa 0.6667 0.3333 0.5000
Tl1 Tl 0.3333 0.6667 0.0000
O1 O 0.3562 0.0165 0.2499
# Total magnetic moment = 0.00 μB/f.u.


no.,final energy (eV/atom),formation energy (no corrections) (eV per atom)
1,-6.5782,-0.856
2,-9.3521,-3.677
3,-7.6024,-2.445
4,-8.0738,-3.341
5,-7.8908,-2.746
6,-7.0917,-2.078
7,-9.0347,-3.273
8,-7.4984,-2.351